DFT (meta-GGA SCAN) results for ThAlRh at its PBEsol-relaxed geometry.

Calculated volume ... 19.982 Å³/atom
E_form ... -96.7 kJ per mole of atoms
Total moment ... 0.00 μB/atom

Geometry as POSCAR:
```
ThAlRh
1.0
-0.8877 1.8759 -3.5820
-1.7325 -6.2507 -2.8443
-4.9338 3.8954 3.2627
Rh Th Al
3 3 3
Cartesian
-0.4438 0.9380 -1.7910
-3.8667 0.5134 1.2271
-2.7996 -2.8687 -0.8086
-4.3139 -0.4294 -1.5480
-2.5134 2.5719 -0.4224
-1.1705 -1.6839 -2.9840
-1.5325 -0.5415 0.0962
-1.3342 -4.8137 -2.1904
-3.7996 2.9999 2.5127
```

DFT (meta-GGA SCAN) results for Al2TlGe2 at its PBEsol-relaxed geometry.

Calculated volume ... 20.829 Å³/atom
E_form ... 8.6 kJ per mole of atoms
Total moment ... 0.00 μB/atom

Geometry as POSCAR:
```
Al2TlGe2
1.0
-2.4964 1.2839 3.5830
2.4650 -2.7195 2.6919
3.2184 4.4912 -2.2581
Ge Al Tl
2 2 1
Cartesian
0.7759 0.2148 3.3548
2.4111 2.8407 0.6620
2.8338 0.5269 1.7856
0.3532 2.5286 2.2312
0.0000 0.0000 0.0000
```

DFT (meta-GGA SCAN) results for Ba5Au at its PBEsol-relaxed geometry.

Calculated volume ... 48.767 Å³/atom
E_form ... 34.5 kJ per mole of atoms
Energy relative to the lowest polymorph listed for this composition ... 0.6265 eV per atom
Total moment ... 0.42 μB/atom

Geometry as POSCAR:
```
Ba5Au
1.0
-4.7431 2.6342 5.1082
-7.0827 -2.3158 0.0531
-2.4275 -4.4394 5.4707
Ba Au
5 1
Cartesian
-6.5297 -3.9147 4.0762
-3.5633 -1.0303 2.6580
-5.3459 -1.4100 6.6341
-7.7014 -0.3355 3.8928
-8.9297 -2.5818 6.6610
0.0000 0.0000 0.0000
```

DFT (meta-GGA SCAN) results for KNiSe at its PBEsol-relaxed geometry.

Calculated volume ... 20.932 Å³/atom
E_form (uncorrected) ... -0.03 eV/f.u.
Total moment ... 0.33 μB/atom

Geometry as POSCAR:
```
KNiSe
1.0
4.4615 0.0000 0.0000
2.2308 3.8638 0.0000
2.2308 1.2879 3.6428
K Ni Se
1 1 1
Cartesian
4.4615 2.5759 1.8214
2.2308 1.2879 0.9107
0.0000 0.0000 0.0000
```